No. 1
Entry from the Alexandria database: Pr2Tm2In7 after structural relaxation (GGA-PBE).

a b c (Å): 10.2884 11.4513 6.0724
angles (deg): 90.00 90.00 90.00
With the nearest neighbours (Å) after each atom.
Space group Cmmm (No. 65)
Asymmetric unit:
Pr 0.1960 0.0000 0.0000 [4 per cell]  8 In 3.26-3.64
Tm 0.0000 0.2677 0.5000 [4 per cell]  7 In 3.02-3.10
In 0.0000 0.0000 0.5000 [2 per cell]  2 Tm 3.07
In 0.0000 0.5000 0.2388 [4 per cell]  2 In 2.90-3.17, 2 Tm 3.10
In 0.2500 0.2500 0.2400 [8 per cell]  2 In 2.92-3.16, 2 Tm 3.02, 2 Pr 3.26

Properties
- formation energy (eV/atom) = 0.006
- calculated volume (Å³/atom) = 32.52
- DOS(E_F) (states/eV per cell) = 13.74
- DFT total energy (eV for the cell shown) = -75.22



No. 2
Entry from the Alexandria database: TbErSb2 after structural relaxation (GGA-PBE).

a b c (Å): 4.3631 4.3631 14.4324
angles (deg): 90.00 90.00 120.00
With the nearest neighbours (Å) after each atom.
Space group P6_3/mmc (No. 194)
Asymmetric unit:
Tb 0.3333 0.6667 0.2500 [2 per cell]  6 Sb 3.13
Er 0.0000 0.0000 0.0000 [2 per cell]  6 Sb 3.07
Sb 0.3333 0.6667 0.6211 [4 per cell]  3 Er 3.07, 3 Tb 3.13

Properties
- E above lowest polymorph (kcal/mol of atoms) = 1.611
- formation energy without anion corrections (eV/atom) = -1.051
- calculated volume (Å³/atom) = 29.74
- DOS(E_F) (states/eV per cell) = 1.44
- DFT total energy (eV for the cell shown) = -43.28



No. 3
Entry from the Alexandria database: BeP3Os after structural relaxation (GGA-PBE).

a b c (Å): 4.6045 4.6045 4.6045
angles (deg): 90.00 90.00 90.00
With the nearest neighbours (Å) after each atom.
Space group Pm-3m (No. 221)
Asymmetric unit:
Be 0.0000 0.0000 0.0000 [1 per cell]  12 P 3.26
P 0.0000 0.5000 0.5000 [3 per cell]  2 Os 2.30
Os 0.5000 0.5000 0.5000 [1 per cell]  6 P 2.30

Properties
- formation energy (eV/atom) = 1.133
- E above lowest polymorph (kcal/mol of atoms) = 1.713
- calculated volume (Å³/atom) = 19.52
- DOS(E_F) (states/eV per cell) = 4.33
- DFT total energy (eV for the cell shown) = -25.52



No. 4
Entry from the Alexandria database: SrYTc2 after structural relaxation (GGA-PBE).

a b c (Å): 3.2591 3.2591 9.1174
angles (deg): 90.00 90.00 90.00
With the nearest neighbours (Å) after each atom.
Space group P4mm (No. 99)
Asymmetric unit:
Sr 0.0000 0.0000 0.0000 [1 per cell]  4 Sr 3.26, 5 Tc 3.31-3.56
Y 0.5000 0.5000 0.6138 [1 per cell]  5 Tc 3.07-3.22, 4 Y 3.26
Tc 0.0000 0.0000 0.3908 [1 per cell]  4 Tc 2.59
Tc 0.5000 0.5000 0.2604 [1 per cell]  4 Tc 2.59

Properties
- formation energy (eV/atom) = 0.260
- E above lowest polymorph (kcal/mol of atoms) = 0.000
- calculated volume (Å³/atom) = 24.21
- DOS(E_F) (states/eV per cell) = 4.31
- DFT total energy (eV for the cell shown) = -27.84